DFT (PBE-GGA) results for crystalline Bi2Ir2O5 at its relaxed geometry.

**Raw total energy**: -0.2246 hartree per atom
**Space group**: P4/mmm, No. 123
**Magnetic moment**: 0.01 μB per formula unit

Cell: 3.959 3.959 7.217 Å, 90.00 90.00 90.00°
Sites, in units of the cell vectors:
Bi: 0.000 0.000 0.000
Bi: 0.000 0.000 0.500
Ir: 0.500 0.500 0.195
Ir: 0.500 0.500 0.805
O: 0.000 0.500 0.257
O: 0.000 0.500 0.743
O: 0.500 0.000 0.257
O: 0.500 0.000 0.743
O: 0.500 0.500 0.500



DFT (PBE-GGA) results for crystalline BiIrO4 at its relaxed geometry.

**Raw total energy**: -0.2340 hartree per atom
**Space group**: C2/c, No. 15
**Magnetic moment**: 0.22 μB per formula unit

Cell: 6.444 6.444 5.351 Å, 105.34 105.34 44.17°
Sites, in units of the cell vectors:
Bi: 0.245 0.755 0.750
Bi: 0.755 0.245 0.250
Ir: 0.000 0.500 0.000
Ir: 0.500 0.000 0.500
O: 0.133 0.239 0.668
O: 0.239 0.133 0.168
O: 0.310 0.500 0.036
O: 0.500 0.310 0.536
O: 0.500 0.690 0.464
O: 0.690 0.500 0.964
O: 0.761 0.867 0.832
O: 0.867 0.761 0.332



DFT (PBE-GGA) results for crystalline Bi2Ir2O5 at its relaxed geometry.

**Raw total energy**: -0.2141 hartree per atom
**Space group**: P4/mmm, No. 123
**Magnetic moment**: 0.18 μB per formula unit

Cell: 3.468 3.468 10.233 Å, 90.00 90.00 90.00°
Sites, in units of the cell vectors:
Bi: 0.000 0.000 0.231
Bi: 0.000 0.000 0.769
Ir: 0.500 0.500 0.000
Ir: 0.500 0.500 0.500
O: 0.000 0.000 0.000
O: 0.000 0.500 0.386
O: 0.000 0.500 0.614
O: 0.500 0.000 0.386
O: 0.500 0.000 0.614



DFT (PBE-GGA) results for crystalline BiIrPb2O6 at its relaxed geometry.

**Raw total energy**: -0.2149 hartree per atom
**Space group**: P-1, No. 2
**Magnetic moment**: 1.69 μB per formula unit

Cell: 5.224 5.347 5.659 Å, 94.07 92.31 104.57°
Sites, in units of the cell vectors:
Bi: 0.000 0.000 0.000
Ir: 0.500 0.500 0.000
Pb: 0.306 0.706 0.524
Pb: 0.694 0.294 0.476
O: 0.264 0.722 0.955
O: 0.283 0.257 0.738
O: 0.300 0.319 0.263
O: 0.700 0.681 0.737
O: 0.717 0.743 0.262
O: 0.736 0.278 0.045



DFT (PBE-GGA) results for crystalline BiIrPb2O6 at its relaxed geometry.

**Raw total energy**: -0.2188 hartree per atom
**Space group**: C2/m, No. 12
**Magnetic moment**: 0.83 μB per formula unit

Cell: 5.793 5.793 6.043 Å, 119.35 119.35 60.21°
Sites, in units of the cell vectors:
Bi: 0.000 0.000 0.000
Ir: 0.500 0.500 0.500
Pb: 0.246 0.246 0.723
Pb: 0.754 0.754 0.277
O: 0.196 0.673 0.658
O: 0.276 0.276 0.174
O: 0.327 0.804 0.342
O: 0.673 0.196 0.658
O: 0.724 0.724 0.826
O: 0.804 0.327 0.342



DFT (PBE-GGA) results for crystalline Bi2IrOs at its relaxed geometry.

**Raw total energy**: -0.2183 hartree per atom
**Space group**: F-43m, No. 216
**Magnetic moment**: 0.01 μB per formula unit

Cell: 4.884 4.884 4.884 Å, 60.00 60.00 60.00°
Sites, in units of the cell vectors:
Bi: 0.000 0.000 0.000
Bi: 0.250 0.250 0.250
Ir: 0.750 0.750 0.750
Os: 0.500 0.500 0.500



DFT (PBE-GGA) results for crystalline Bi2Ir3Os3 at its relaxed geometry.

**Raw total energy**: -0.2786 hartree per atom
**Space group**: R-3m, No. 166
**Magnetic moment**: 0.01 μB per formula unit

Cell: 7.669 7.669 7.669 Å, 38.01 38.01 38.01°
Sites, in units of the cell vectors:
Bi: 0.207 0.207 0.207
Bi: 0.793 0.793 0.793
Ir: 0.062 0.062 0.062
Ir: 0.500 0.500 0.500
Ir: 0.938 0.938 0.938
Os: 0.000 0.500 0.500
Os: 0.500 0.000 0.500
Os: 0.500 0.500 0.000



DFT (PBE-GGA) results for crystalline BiIr3Os2 at its relaxed geometry.

**Raw total energy**: -0.3010 hartree per atom
**Space group**: P6/mmm, No. 191
**Magnetic moment**: 0.74 μB per formula unit

Cell: 5.250 5.250 4.445 Å, 90.00 90.00 120.00°
Sites, in units of the cell vectors:
Bi: 0.000 0.000 0.000
Ir: 0.000 0.500 0.500
Ir: 0.500 0.000 0.500
Ir: 0.500 0.500 0.500
Os: 0.333 0.667 0.000
Os: 0.667 0.333 0.000



DFT (PBE-GGA) results for crystalline BiIr2Os at its relaxed geometry.

**Raw total energy**: -0.2716 hartree per atom
**Space group**: F-43m, No. 216
**Magnetic moment**: 0.78 μB per formula unit

Cell: 4.591 4.591 4.591 Å, 60.00 60.00 60.00°
Sites, in units of the cell vectors:
Bi: 0.000 0.000 0.000
Ir: 0.500 0.500 0.500
Ir: 0.750 0.750 0.750
Os: 0.250 0.250 0.250



DFT (PBE-GGA) results for crystalline BiIrOs at its relaxed geometry.

**Raw total energy**: -0.2509 hartree per atom
**Space group**: F-43m, No. 216
**Magnetic moment**: 0.17 μB per formula unit

Cell: 4.417 4.417 4.417 Å, 60.00 60.00 60.00°
Sites, in units of the cell vectors:
Bi: 0.000 0.000 0.000
Ir: 0.750 0.750 0.750
Os: 0.250 0.250 0.250



DFT (PBE-GGA) results for crystalline BiPIr at its relaxed geometry.

**Raw total energy**: -0.2378 hartree per atom
**Space group**: P2_1/c, No. 14
**Magnetic moment**: 0.00 μB per formula unit

Cell: 6.463 6.355 6.428 Å, 90.00 112.64 90.00°
Sites, in units of the cell vectors:
Bi: 0.155 0.124 0.356
Bi: 0.155 0.376 0.856
Bi: 0.845 0.624 0.144
Bi: 0.845 0.876 0.644
P: 0.356 0.641 0.667
P: 0.356 0.859 0.167
P: 0.644 0.141 0.833
P: 0.644 0.359 0.333
Ir: 0.306 0.526 0.300
Ir: 0.306 0.974 0.800
Ir: 0.694 0.026 0.200
Ir: 0.694 0.474 0.700



DFT (PBE-GGA) results for crystalline BiIr2Pd at its relaxed geometry.

**Raw total energy**: -0.2325 hartree per atom
**Space group**: F-43m, No. 216
**Magnetic moment**: 0.15 μB per formula unit

Cell: 4.615 4.615 4.615 Å, 60.00 60.00 60.00°
Sites, in units of the cell vectors:
Bi: 0.000 0.000 0.000
Ir: 0.500 0.500 0.500
Ir: 0.750 0.750 0.750
Pd: 0.250 0.250 0.250